No. 1
Below is crystalline LiInAg2 at its relaxed geometry, with properties calculated at the GGA-PBEsol level.

```
4
Lattice="4.079 0.000 0.000 0.000 4.081 0.000 -2.040 -2.041 4.116" Properties=species:S:1:pos:R:3 pbc="T T T"
Ag 2.040 2.041 4.115
In 2.040 2.041 0.000
Li 0.000 2.041 2.058
Ag 2.040 0.000 2.058
```

## Properties
The formation enthalpy at 0 K comes out at -215 meV per atom. Its space group is No. 119. Its density of states at the Fermi level is 1.23 states/eV/cell. The size of the total moment comes out at 0.0 μB per cell. The value obtained for the total energy is -12.433 eV for the cell shown.

No. 2
Below is crystalline LaMo at its relaxed geometry, with properties calculated at the GGA-PBEsol level.

```
4
Lattice="-1.826 -1.165 2.074 1.850 -1.786 -1.543 7.735 1.435 7.618" Properties=species:S:1:pos:R:3 pbc="T T T"
Mo 2.064 -1.312 1.080
La 6.693 -0.020 8.051
La 4.051 -0.944 3.037
Mo 4.706 -0.388 6.094
```

## Properties
The formation enthalpy at 0 K comes out at 1017 meV per atom. Its polymorph energy (0 for the lowest one) is 0.754 eV per atom. Its space group is No. 186. Its density of states at the Fermi level is 6.34 states/eV/cell. The size of the total moment comes out at 0.0 μB per cell. The value obtained for the total energy is -30.162 eV for the cell shown.

No. 3
Below is crystalline Ca2ZnHg at its relaxed geometry, with properties calculated at the GGA-PBEsol level.

```
4
Lattice="-3.573 0.023 0.814 0.253 -3.449 1.211 1.548 2.473 6.724" Properties=species:S:1:pos:R:3 pbc="T T T"
Zn -1.660 -1.713 1.012
Ca 1.169 1.868 5.079
Ca 0.379 0.605 1.645
Hg -0.886 -0.476 4.374
```

## Properties
The formation enthalpy at 0 K comes out at -413 meV per atom. Its polymorph energy (0 for the lowest one) is 0.000 eV per atom. Its space group is No. 123. Its density of states at the Fermi level is 2.40 states/eV/cell. The size of the total moment comes out at 0.0 μB per cell. The value obtained for the total energy is -8.069 eV for the cell shown.

No. 4
Below is crystalline NbRh3Pb at its relaxed geometry, with properties calculated at the GGA-PBEsol level.

```
5
Lattice="4.782 0.000 0.000 0.000 4.782 0.000 0.000 0.000 4.782" Properties=species:S:1:pos:R:3 pbc="T T T"
Rh 0.000 0.000 2.391
Rh 2.391 0.000 0.000
Nb 2.391 2.391 2.391
Rh 0.000 2.391 0.000
Pb 0.000 0.000 0.000
```

## Properties
The formation enthalpy at 0 K comes out at 1741 meV per atom. Its space group is No. 221. Its density of states at the Fermi level is 6.45 states/eV/cell. The size of the total moment comes out at 2.0 μB per cell. The value obtained for the total energy is -30.532 eV for the cell shown.

No. 5
Below is crystalline CrOs2Au at its relaxed geometry, with properties calculated at the GGA-PBEsol level.

```
4
Lattice="2.695 0.000 0.200 0.000 3.751 0.000 -0.413 0.000 5.546" Properties=species:S:1:pos:R:3 pbc="T T T"
Cr 1.141 1.875 2.873
Os -0.297 0.000 3.994
Os 2.579 0.000 1.753
Au 1.348 1.875 0.100
```

## Properties
The formation enthalpy at 0 K comes out at 379 meV per atom. Its polymorph energy (0 for the lowest one) is 0.067 eV per atom. Its space group is No. 47. Its density of states at the Fermi level is 4.38 states/eV/cell. The size of the total moment comes out at 0.0 μB per cell. The value obtained for the total energy is -37.080 eV for the cell shown.

No. 6
Below is crystalline Ba4AlZn at its relaxed geometry, with properties calculated at the GGA-PBEsol level.

```
6
Lattice="-2.441 -6.128 -2.339 4.213 -4.324 -3.542 2.152 -5.976 2.940" Properties=species:S:1:pos:R:3 pbc="T T T"
Ba 1.470 -6.157 -1.102
Zn 2.943 -12.321 -2.206
Al 0.000 0.000 0.000
Ba 3.581 -8.323 -2.876
Ba 0.248 -9.227 -2.274
Ba 2.548 -9.150 0.370
```

## Properties
The formation enthalpy at 0 K comes out at 568 meV per atom. Its space group is No. 216. Its density of states at the Fermi level is 8.13 states/eV/cell. The size of the total moment comes out at 0.0 μB per cell. The value obtained for the total energy is -10.863 eV for the cell shown.